# CeTh2BeN4

A geometry-optimized CeTh2BeN4 structure (PBE-GGA, Alexandria).

```
CeTh2BeN4
1.0
3.701 0.000 0.000
-1.850 6.081 0.000
0.000 0.000 11.154
Ce Th Be N
2 4 2 8
direct
0.093 0.186 0.750
0.907 0.814 0.250
0.371 0.741 0.567
0.629 0.259 0.067
0.629 0.259 0.433
0.371 0.741 0.933
0.768 0.535 0.750
0.232 0.465 0.250
0.267 0.534 0.117
0.733 0.466 0.617
0.733 0.466 0.883
0.267 0.534 0.383
0.000 0.000 0.500
0.000 0.000 0.000
0.478 0.956 0.750
0.522 0.044 0.250
```

Raw total energy (eV per atom): -8.569
Crystal system: orthorhombic
Mass density (g/cm³): 8.9
Space group: Cmcm
Energy relative to the elements, uncorrected (meV/atom): -1343.7